{"formula": "UGaIr", "functional": "PBE", "state": "relaxed", "cell": [[3.175, 0.000, 0.000], [0.000, 3.175, 0.000], [-1.587, -1.587, 5.438]], "species": ["Ir", "U", "Ga"], "frac_coords": [[0.674, 0.674, 0.348], [0.013, 0.013, 0.025], [0.314, 0.314, 0.627]], "energy_ry_per_atom": -0.592, "formation_enthalpy_0k_mev_per_atom": -336, "magmom_total_mub_per_atom": 0.2554, "vol_a3_per_cell": 54.8}